Entry from the Alexandria database: a relaxed structure of Dy4CdRu (GGA-PBE).

Output
Space-group type = F-43m, No. 216
Fermi-level density of states = 1.13 states/eV/atom
Polymorph energy (0 for the lowest one) = 0 meV/atom
Total magnetization = 0.0 μB per formula unit

a b c (Å): 9.6117 9.6117 9.6117
angles (deg): 60.00 60.00 60.00
Positions (direct):
1 Dy 0.4039 0.4039 0.4039
2 Dy 0.7884 0.4039 0.4039
3 Dy 0.4039 0.7884 0.4039
4 Dy 0.4039 0.4039 0.7884
5 Dy 0.5604 0.5604 0.9396
6 Dy 0.9396 0.9396 0.5604
7 Dy 0.5604 0.9396 0.5604
8 Dy 0.9396 0.5604 0.9396
9 Dy 0.9396 0.5604 0.5604
10 Dy 0.5604 0.9396 0.9396
11 Dy 0.1884 0.1884 0.8116
12 Dy 0.8116 0.8116 0.1884
13 Dy 0.1884 0.8116 0.1884
14 Dy 0.8116 0.1884 0.8116
15 Dy 0.8116 0.1884 0.1884
16 Dy 0.1884 0.8116 0.8116
17 Cd 0.1696 0.1696 0.1696
18 Cd 0.4913 0.1696 0.1696
19 Cd 0.1696 0.4913 0.1696
20 Cd 0.1696 0.1696 0.4913
21 Ru 0.6111 0.6111 0.6111
22 Ru 0.1667 0.6111 0.6111
23 Ru 0.6111 0.1667 0.6111
24 Ru 0.6111 0.6111 0.1667